(1)
Below is PrErTlGa after structural relaxation, with properties calculated at the PBE level.

SG = P4mm
calculated density = 9.2 Mg/m³
E above lowest polymorph = 0 meV per atom
total magnetization = 0.00 μB per cell
energy of formation from the pure elements = -458 meV per atom

Cell and atoms, written as CIF:
```
data_PrErTlGa
_symmetry_space_group_name_H-M 'P 1'
_symmetry_Int_Tables_number 1
_cell_length_a 3.687
_cell_length_b 3.687
_cell_length_c 7.711
_cell_angle_alpha 90.00
_cell_angle_beta 90.00
_cell_angle_gamma 90.00
loop_
_symmetry_equiv_pos_as_xyz
'x,y,z'
loop_
_atom_site_label
_atom_site_type_symbol
_atom_site_fract_x
_atom_site_fract_y
_atom_site_fract_z
Pr1 Pr 0.000 0.000 0.000
Er1 Er 0.000 0.000 0.465
Tl1 Tl 0.500 0.500 0.715
Ga1 Ga 0.500 0.500 0.249
```

=====

(2)
Below is PrErZn2Ga2 after structural relaxation, with properties calculated at the PBE level.

SG = P-3m1
calculated density = 7.6 Mg/m³
total magnetization = 0.00 μB per cell
energy of formation from the pure elements = -563 meV per atom

Cell and atoms, written as CIF:
```
data_PrErZn2Ga2
_symmetry_space_group_name_H-M 'P 1'
_symmetry_Int_Tables_number 1
_cell_length_a 4.450
_cell_length_b 4.450
_cell_length_c 7.402
_cell_angle_alpha 90.00
_cell_angle_beta 90.00
_cell_angle_gamma 120.00
loop_
_symmetry_equiv_pos_as_xyz
'x,y,z'
loop_
_atom_site_label
_atom_site_type_symbol
_atom_site_fract_x
_atom_site_fract_y
_atom_site_fract_z
Pr1 Pr 0.000 0.000 0.000
Er1 Er 0.000 0.000 0.500
Zn1 Zn 0.333 0.667 0.281
Zn2 Zn 0.667 0.333 0.719
Ga1 Ga 0.333 0.667 0.729
Ga2 Ga 0.667 0.333 0.271
```

=====

(3)
Below is PrEr2Zn2Ga2 after structural relaxation, with properties calculated at the PBE level.

SG = R-3m
calculated density = 7.7 Mg/m³
total magnetization = 0.00 μB per cell
energy of formation from the pure elements = -402 meV per atom

Cell and atoms, written as CIF:
```
data_PrEr2Zn2Ga2
_symmetry_space_group_name_H-M 'P 1'
_symmetry_Int_Tables_number 1
_cell_length_a 9.602
_cell_length_b 9.602
_cell_length_c 9.602
_cell_angle_alpha 26.93
_cell_angle_beta 26.93
_cell_angle_gamma 26.93
loop_
_symmetry_equiv_pos_as_xyz
'x,y,z'
loop_
_atom_site_label
_atom_site_type_symbol
_atom_site_fract_x
_atom_site_fract_y
_atom_site_fract_z
Pr1 Pr 0.000 0.000 0.000
Er1 Er 0.129 0.129 0.129
Er2 Er 0.871 0.871 0.871
Zn1 Zn 0.405 0.405 0.405
Zn2 Zn 0.595 0.595 0.595
Ga1 Ga 0.256 0.256 0.256
Ga2 Ga 0.744 0.744 0.744
```

=====

(4)
Below is PrErZnGa after structural relaxation, with properties calculated at the PBE level.

SG = F-43m
calculated density = 7.6 Mg/m³
total magnetization = 0.00 μB per cell
energy of formation from the pure elements = -444 meV per atom

Cell and atoms, written as CIF:
```
data_PrErZnGa
_symmetry_space_group_name_H-M 'P 1'
_symmetry_Int_Tables_number 1
_cell_length_a 5.144
_cell_length_b 5.144
_cell_length_c 5.144
_cell_angle_alpha 60.00
_cell_angle_beta 60.00
_cell_angle_gamma 60.00
loop_
_symmetry_equiv_pos_as_xyz
'x,y,z'
loop_
_atom_site_label
_atom_site_type_symbol
_atom_site_fract_x
_atom_site_fract_y
_atom_site_fract_z
Pr1 Pr 0.000 0.000 0.000
Er1 Er 0.500 0.500 0.500
Zn1 Zn 0.750 0.750 0.750
Ga1 Ga 0.250 0.250 0.250
```

=====

(5)
Below is Er2Ga8Pt after structural relaxation, with properties calculated at the PBE level.

SG = P4/mmm
calculated density = 8.7 Mg/m³
total magnetization = 0.00 μB per cell
energy of formation from the pure elements = -543 meV per atom

Cell and atoms, written as CIF:
```
data_Er2Ga8Pt
_symmetry_space_group_name_H-M 'P 1'
_symmetry_Int_Tables_number 1
_cell_length_a 4.323
_cell_length_b 4.323
_cell_length_c 11.087
_cell_angle_alpha 90.00
_cell_angle_beta 90.00
_cell_angle_gamma 90.00
loop_
_symmetry_equiv_pos_as_xyz
'x,y,z'
loop_
_atom_site_label
_atom_site_type_symbol
_atom_site_fract_x
_atom_site_fract_y
_atom_site_fract_z
Er1 Er 0.000 0.000 0.190
Er2 Er 0.000 0.000 0.810
Ga1 Ga 0.000 0.500 0.000
Ga2 Ga 0.000 0.500 0.372
Ga3 Ga 0.000 0.500 0.628
Ga4 Ga 0.500 0.000 0.000
Ga5 Ga 0.500 0.000 0.372
Ga6 Ga 0.500 0.000 0.628
Ga7 Ga 0.500 0.500 0.193
Ga8 Ga 0.500 0.500 0.807
Pt1 Pt 0.000 0.000 0.500
```

=====

(6)
Below is ErGa6Pt12 after structural relaxation, with properties calculated at the PBE level.

SG = R-3m
calculated density = 14.9 Mg/m³
total magnetization = 0.00 μB per cell
energy of formation from the pure elements = -560 meV per atom

Cell and atoms, written as CIF:
```
data_ErGa6Pt12
_symmetry_space_group_name_H-M 'P 1'
_symmetry_Int_Tables_number 1
_cell_length_a 7.296
_cell_length_b 7.296
_cell_length_c 7.296
_cell_angle_alpha 106.65
_cell_angle_beta 106.65
_cell_angle_gamma 106.65
loop_
_symmetry_equiv_pos_as_xyz
'x,y,z'
loop_
_atom_site_label
_atom_site_type_symbol
_atom_site_fract_x
_atom_site_fract_y
_atom_site_fract_z
Er1 Er 0.000 0.000 0.000
Ga1 Ga 0.275 0.275 0.695
Ga2 Ga 0.275 0.695 0.275
Ga3 Ga 0.305 0.725 0.725
Ga4 Ga 0.695 0.275 0.275
Ga5 Ga 0.725 0.305 0.725
Ga6 Ga 0.725 0.725 0.305
Pt1 Pt 0.125 0.500 0.875
Pt2 Pt 0.125 0.875 0.500
Pt3 Pt 0.139 0.376 0.376
Pt4 Pt 0.376 0.139 0.376
Pt5 Pt 0.376 0.376 0.139
Pt6 Pt 0.500 0.125 0.875
Pt7 Pt 0.500 0.875 0.125
Pt8 Pt 0.624 0.624 0.861
Pt9 Pt 0.624 0.861 0.624
Pt10 Pt 0.861 0.624 0.624
Pt11 Pt 0.875 0.125 0.500
Pt12 Pt 0.875 0.500 0.125
```

=====

(7)
Below is Er2Ga3Pt5 after structural relaxation, with properties calculated at the PBE level.

SG = Cmc2_1
calculated density = 14.3 Mg/m³
E above lowest polymorph = 0 meV per atom
total magnetization = 0.00 μB per cell
energy of formation from the pure elements = -972 meV per atom

Cell and atoms, written as CIF:
```
data_Er2Ga3Pt5
_symmetry_space_group_name_H-M 'P 1'
_symmetry_Int_Tables_number 1
_cell_length_a 12.635
_cell_length_b 12.635
_cell_length_c 6.808
_cell_angle_alpha 90.00
_cell_angle_beta 90.00
_cell_angle_gamma 161.12
loop_
_symmetry_equiv_pos_as_xyz
'x,y,z'
loop_
_atom_site_label
_atom_site_type_symbol
_atom_site_fract_x
_atom_site_fract_y
_atom_site_fract_z
Er1 Er 0.026 0.974 0.500
Er2 Er 0.323 0.677 0.448
Er3 Er 0.677 0.323 0.948
Er4 Er 0.974 0.026 0.000
Ga1 Ga 0.125 0.875 0.264
Ga2 Ga 0.285 0.715 0.903
Ga3 Ga 0.458 0.542 0.311
Ga4 Ga 0.542 0.458 0.811
Ga5 Ga 0.715 0.285 0.403
Ga6 Ga 0.875 0.125 0.764
Pt1 Pt 0.098 0.902 0.863
Pt2 Pt 0.195 0.805 0.642
Pt3 Pt 0.226 0.774 0.201
Pt4 Pt 0.384 0.616 0.041
Pt5 Pt 0.445 0.555 0.682
Pt6 Pt 0.555 0.445 0.182
Pt7 Pt 0.616 0.384 0.541
Pt8 Pt 0.774 0.226 0.701
Pt9 Pt 0.805 0.195 0.142
Pt10 Pt 0.902 0.098 0.363
```

=====

(8)
Below is Er2Ga5Pt3 after structural relaxation, with properties calculated at the PBE level.

SG = Cmc2_1
calculated density = 11.6 Mg/m³
total magnetization = 0.00 μB per cell
energy of formation from the pure elements = -901 meV per atom

Cell and atoms, written as CIF:
```
data_Er2Ga5Pt3
_symmetry_space_group_name_H-M 'P 1'
_symmetry_Int_Tables_number 1
_cell_length_a 12.595
_cell_length_b 12.595
_cell_length_c 6.758
_cell_angle_alpha 90.00
_cell_angle_beta 90.00
_cell_angle_gamma 160.22
loop_
_symmetry_equiv_pos_as_xyz
'x,y,z'
loop_
_atom_site_label
_atom_site_type_symbol
_atom_site_fract_x
_atom_site_fract_y
_atom_site_fract_z
Er1 Er 0.017 0.983 0.500
Er2 Er 0.325 0.675 0.475
Er3 Er 0.675 0.325 0.975
Er4 Er 0.983 0.017 0.000
Ga1 Ga 0.104 0.896 0.159
Ga2 Ga 0.206 0.794 0.672
Ga3 Ga 0.207 0.793 0.263
Ga4 Ga 0.377 0.623 0.007
Ga5 Ga 0.449 0.551 0.323
Ga6 Ga 0.551 0.449 0.823
Ga7 Ga 0.623 0.377 0.507
Ga8 Ga 0.793 0.207 0.763
Ga9 Ga 0.794 0.206 0.172
Ga10 Ga 0.896 0.104 0.659
Pt1 Pt 0.106 0.894 0.765
Pt2 Pt 0.274 0.726 0.965
Pt3 Pt 0.449 0.551 0.717
Pt4 Pt 0.551 0.449 0.217
Pt5 Pt 0.726 0.274 0.465
Pt6 Pt 0.894 0.106 0.265
```

=====

(9)
Below is Er11Ga9Pt4 after structural relaxation, with properties calculated at the PBE level.

SG = Cmmm
calculated density = 10.3 Mg/m³
total magnetization = 0.00 μB per cell
energy of formation from the pure elements = -833 meV per atom

Cell and atoms, written as CIF:
```
data_Er11Ga9Pt4
_symmetry_space_group_name_H-M 'P 1'
_symmetry_Int_Tables_number 1
_cell_length_a 12.619
_cell_length_b 12.619
_cell_length_c 3.562
_cell_angle_alpha 90.00
_cell_angle_beta 90.00
_cell_angle_gamma 113.07
loop_
_symmetry_equiv_pos_as_xyz
'x,y,z'
loop_
_atom_site_label
_atom_site_type_symbol
_atom_site_fract_x
_atom_site_fract_y
_atom_site_fract_z
Er1 Er 0.000 0.000 0.000
Er2 Er 0.064 0.410 0.000
Er3 Er 0.164 0.836 0.000
Er4 Er 0.299 0.299 0.000
Er5 Er 0.370 0.630 0.000
Er6 Er 0.410 0.064 0.000
Er7 Er 0.590 0.936 0.000
Er8 Er 0.630 0.370 0.000
Er9 Er 0.701 0.701 0.000
Er10 Er 0.836 0.164 0.000
Er11 Er 0.936 0.590 0.000
Ga1 Ga 0.067 0.213 0.500
Ga2 Ga 0.161 0.633 0.500
Ga3 Ga 0.213 0.067 0.500
Ga4 Ga 0.367 0.839 0.500
Ga5 Ga 0.500 0.500 0.500
Ga6 Ga 0.633 0.161 0.500
Ga7 Ga 0.787 0.933 0.500
Ga8 Ga 0.839 0.367 0.500
Ga9 Ga 0.933 0.787 0.500
Pt1 Pt 0.242 0.446 0.500
Pt2 Pt 0.446 0.242 0.500
Pt3 Pt 0.554 0.758 0.500
Pt4 Pt 0.758 0.554 0.500
```

=====

(10)
Below is ErGa12Pt4 after structural relaxation, with properties calculated at the PBE level.

SG = Im-3
calculated density = 8.6 Mg/m³
total magnetization = 0.00 μB per cell
energy of formation from the pure elements = -325 meV per atom

Cell and atoms, written as CIF:
```
data_ErGa12Pt4
_symmetry_space_group_name_H-M 'P 1'
_symmetry_Int_Tables_number 1
_cell_length_a 7.637
_cell_length_b 7.637
_cell_length_c 7.637
_cell_angle_alpha 109.47
_cell_angle_beta 109.47
_cell_angle_gamma 109.47
loop_
_symmetry_equiv_pos_as_xyz
'x,y,z'
loop_
_atom_site_label
_atom_site_type_symbol
_atom_site_fract_x
_atom_site_fract_y
_atom_site_fract_z
Er1 Er 0.000 0.000 0.000
Ga1 Ga 0.151 0.496 0.345
Ga2 Ga 0.151 0.806 0.655
Ga3 Ga 0.194 0.345 0.849
Ga4 Ga 0.345 0.151 0.496
Ga5 Ga 0.345 0.849 0.194
Ga6 Ga 0.496 0.345 0.151
Ga7 Ga 0.504 0.655 0.849
Ga8 Ga 0.655 0.151 0.806
Ga9 Ga 0.655 0.849 0.504
Ga10 Ga 0.806 0.655 0.151
Ga11 Ga 0.849 0.194 0.345
Ga12 Ga 0.849 0.504 0.655
Pt1 Pt 0.000 0.000 0.500
Pt2 Pt 0.000 0.500 0.000
Pt3 Pt 0.500 0.000 0.000
Pt4 Pt 0.500 0.500 0.500
```

=====

(11)
Below is Er6Ga17Pt5 after structural relaxation, with properties calculated at the PBE level.

SG = C2/m
calculated density = 10.3 Mg/m³
total magnetization = 0.00 μB per cell
energy of formation from the pure elements = -709 meV per atom

Cell and atoms, written as CIF:
```
data_Er6Ga17Pt5
_symmetry_space_group_name_H-M 'P 1'
_symmetry_Int_Tables_number 1
_cell_length_a 8.154
_cell_length_b 8.154
_cell_length_c 15.712
_cell_angle_alpha 101.50
_cell_angle_beta 101.50
_cell_angle_gamma 30.04
loop_
_symmetry_equiv_pos_as_xyz
'x,y,z'
loop_
_atom_site_label
_atom_site_type_symbol
_atom_site_fract_x
_atom_site_fract_y
_atom_site_fract_z
Er1 Er 0.089 0.089 0.412
Er2 Er 0.251 0.251 0.251
Er3 Er 0.409 0.409 0.090
Er4 Er 0.591 0.591 0.910
Er5 Er 0.749 0.749 0.749
Er6 Er 0.911 0.911 0.588
Ga1 Ga 0.000 0.000 0.000
Ga2 Ga 0.045 0.045 0.176
Ga3 Ga 0.103 0.103 0.770
Ga4 Ga 0.178 0.178 0.045
Ga5 Ga 0.229 0.229 0.895
Ga6 Ga 0.271 0.271 0.602
Ga7 Ga 0.325 0.325 0.455
Ga8 Ga 0.396 0.396 0.729
Ga9 Ga 0.455 0.455 0.325
Ga10 Ga 0.545 0.545 0.675
Ga11 Ga 0.604 0.604 0.271
Ga12 Ga 0.675 0.675 0.545
Ga13 Ga 0.729 0.729 0.398
Ga14 Ga 0.771 0.771 0.105
Ga15 Ga 0.822 0.822 0.955
Ga16 Ga 0.897 0.897 0.230
Ga17 Ga 0.955 0.955 0.824
Pt1 Pt 0.107 0.107 0.607
Pt2 Pt 0.390 0.390 0.890
Pt3 Pt 0.500 0.500 0.500
Pt4 Pt 0.610 0.610 0.110
Pt5 Pt 0.893 0.893 0.393
```